Density functional theory data (PBE) for an optimized crystal structure of Cs2TlCd2Ag.

The structure in POSCAR format:
```
Cs2TlCd2Ag
1.0
-3.7899 8.4198 3.8915
3.7899 -8.4198 3.8915
3.7899 8.4198 -3.8915
Cs Tl Cd Ag
4 2 4 2
Direct
0.1679 0.2418 0.4097
0.3321 0.7418 0.0738
0.6679 0.2582 0.9262
0.8321 0.7582 0.5903
0.2500 0.7500 0.5000
0.7500 0.2500 0.5000
0.0767 0.7696 0.8464
0.4233 0.2696 0.6929
0.5767 0.7304 0.3071
0.9233 0.2304 0.1536
0.2500 0.2500 0.0000
0.7500 0.7500 0.0000
```

* uncorrected energy: -17.905 eV for the cell shown
* energy relative to the elements: -0.033 eV per atom
* magnetic moment: 0.00 μB per cell